Here is Ac4NpSb5 after structural relaxation from the Alexandria database. Energies are from PBE-GGA.

a b c (Å): 4.740 4.740 33.408
angles (deg): 90.00 90.00 90.00
Space group I4/mmm (No. 139)
Unique sites:
Ac: 0.000 0.000 0.099
Ac: 0.000 0.000 0.301
Np: 0.000 0.000 0.500
Sb: 0.000 0.000 0.000
Sb: 0.000 0.000 0.200
Sb: 0.000 0.000 0.405

Values from the calculation:
magnetic moment: 3.9 μB/f.u.
energy: -5.9688 eV/atom
E_form (uncorrected): -9.70 eV/f.u.